1.
Compound: RbMg2Hg2
Source: the Alexandria database
Functional: PBE
Structure: optimized geometry

The value obtained for the magnetization is 0.0 μB/f.u. As for the formation energy: -0.1485 eV per atom. The value obtained for the density of states at the Fermi level is 3.04 states/eV/f.u. The calculation puts the total energy at -1.101 eV/atom.

The space group is I4/mmm (No. 139) and the conventional cell measures 4.9043, 4.9043 and 12.7524 Å, with angles of 90.00, 90.00 and 90.00 degrees. Symmetry generates all atoms from Rb at (0.0000, 0.0000, 0.0000), Mg at (0.0000, 0.5000, 0.2500) and Hg at (0.0000, 0.0000, 0.3774).


2.
Compound: Rb2MgHg
Source: the Alexandria database
Functional: PBE
Structure: optimized geometry

The value obtained for the magnetization is 0.0 μB/f.u. As for the formation energy: 0.1393 eV per atom. The value obtained for the density of states at the Fermi level is 3.18 states/eV/f.u. The calculation puts the total energy at -0.819 eV/atom.

The space group is I-42d (No. 122) and the conventional cell measures 10.3500, 10.3500 and 7.2612 Å, with angles of 90.00, 90.00 and 90.00 degrees. Symmetry generates all atoms from Rb at (0.2181, 0.2500, 0.1250), Mg at (0.0000, 0.0000, 0.5000) and Hg at (0.0000, 0.0000, 0.0000).


3.
Compound: Rb2MgHg
Source: the Alexandria database
Functional: PBE
Structure: optimized geometry

The value obtained for the magnetization is 0.0 μB/f.u. As for the formation energy: 0.0742 eV per atom. The value obtained for the density of states at the Fermi level is 4.10 states/eV/f.u. The calculation puts the total energy at -0.884 eV/atom.

The space group is Fm-3m (No. 225) and the conventional cell measures 9.1280, 9.1280 and 9.1280 Å, with angles of 90.00, 90.00 and 90.00 degrees. Symmetry generates all atoms from Rb at (0.2500, 0.2500, 0.2500), Mg at (0.0000, 0.0000, 0.0000) and Hg at (0.0000, 0.0000, 0.5000).


4.
Compound: RbMgHg2
Source: the Alexandria database
Functional: PBE
Structure: optimized geometry

The value obtained for the magnetization is 0.0 μB/f.u. As for the formation energy: -0.1482 eV per atom. The value obtained for the density of states at the Fermi level is 2.99 states/eV/f.u. The calculation puts the total energy at -0.940 eV/atom.

The space group is R3m (No. 160, hexagonal axes) and the conventional cell measures 4.9838, 4.9838 and 19.8756 Å, with angles of 90.00, 90.00 and 120.00 degrees. Symmetry generates all atoms from Rb at (0.0000, 0.0000, 0.0000), Mg at (0.0000, 0.0000, 0.1859), Hg at (0.0000, 0.0000, 0.5335) and Hg at (0.0000, 0.0000, 0.8084).


5.
Compound: RbMgHg2Rh
Source: the Alexandria database
Functional: PBE
Structure: optimized geometry

The value obtained for the magnetization is 0.0 μB/f.u. As for the formation energy: -0.1648 eV per atom. The value obtained for the density of states at the Fermi level is 1.65 states/eV/f.u. The calculation puts the total energy at -2.268 eV/atom.

The space group is P4/mmm (No. 123) and the conventional cell measures 5.4038, 5.4038 and 5.0096 Å, with angles of 90.00, 90.00 and 90.00 degrees. Symmetry generates all atoms from Rb at (0.0000, 0.0000, 0.0000), Mg at (0.5000, 0.5000, 0.0000), Hg at (0.0000, 0.5000, 0.5000) and Rh at (0.5000, 0.5000, 0.5000).


6.
Compound: RbMg2HgRh
Source: the Alexandria database
Functional: PBE
Structure: optimized geometry

The value obtained for the magnetization is 0.0 μB/f.u. As for the formation energy: -0.1448 eV per atom. The value obtained for the density of states at the Fermi level is 1.36 states/eV/f.u. The calculation puts the total energy at -2.507 eV/atom.

The space group is P4/mmm (No. 123) and the conventional cell measures 5.1029, 5.1029 and 5.4418 Å, with angles of 90.00, 90.00 and 90.00 degrees. Symmetry generates all atoms from Rb at (0.0000, 0.0000, 0.0000), Mg at (0.0000, 0.5000, 0.5000), Hg at (0.5000, 0.5000, 0.0000) and Rh at (0.5000, 0.5000, 0.5000).


7.
Compound: RbMgHgRu2
Source: the Alexandria database
Functional: PBE
Structure: optimized geometry

The value obtained for the magnetization is 3.6 μB/f.u. As for the formation energy: 1.4005 eV per atom. The value obtained for the density of states at the Fermi level is 10.77 states/eV/f.u. The calculation puts the total energy at -2.883 eV/atom.

The space group is P4/mmm (No. 123) and the conventional cell measures 5.2359, 5.2359 and 5.2157 Å, with angles of 90.00, 90.00 and 90.00 degrees. Symmetry generates all atoms from Rb at (0.0000, 0.0000, 0.0000), Mg at (0.5000, 0.5000, 0.0000), Hg at (0.5000, 0.5000, 0.5000) and Ru at (0.0000, 0.5000, 0.5000).


8.
Compound: RbMgHgSb
Source: the Alexandria database
Functional: PBE
Structure: optimized geometry

The value obtained for the magnetization is 0.0 μB/f.u. The value obtained for the density of states at the Fermi level is 0.76 states/eV/f.u. The calculation puts the total energy at -2.165 eV/atom. For the raw formation energy, the calculation gives -0.42 eV per atom.

The space group is P4/nmm (No. 129, origin choice 2) and the conventional cell measures 4.7749, 4.7749 and 12.7550 Å, with angles of 90.00, 90.00 and 90.00 degrees. Symmetry generates all atoms from Rb at (0.2500, 0.2500, 0.2445), Mg at (0.2500, 0.7500, 0.5000), Hg at (0.2500, 0.7500, 0.0000) and Sb at (0.2500, 0.2500, 0.6335).


Copy entry 8 word for word.
Compound: RbMgHgSb
Source: the Alexandria database
Functional: PBE
Structure: optimized geometry

The value obtained for the magnetization is 0.0 μB/f.u. The value obtained for the density of states at the Fermi level is 0.76 states/eV/f.u. The calculation puts the total energy at -2.165 eV/atom. For the raw formation energy, the calculation gives -0.42 eV per atom.

The space group is P4/nmm (No. 129, origin choice 2) and the conventional cell measures 4.7749, 4.7749 and 12.7550 Å, with angles of 90.00, 90.00 and 90.00 degrees. Symmetry generates all atoms from Rb at (0.2500, 0.2500, 0.2445), Mg at (0.2500, 0.7500, 0.5000), Hg at (0.2500, 0.7500, 0.0000) and Sb at (0.2500, 0.2500, 0.6335).


Which formula does entry 7 have?
RbMgHgRu2